# La3NiAg2 PBE-GGA optimized geometry
data_La3NiAg2
_chemical_formula_sum 'La12 Ni4 Ag8'
_cell_length_a 12.6916
_cell_length_b 4.7002
_cell_length_c 10.9818
_cell_angle_alpha 90.00
_cell_angle_beta 90.00
_cell_angle_gamma 90.00
_space_group_name_H-M_alt 'P n m a'
_space_group_IT_number 62
loop_
_space_group_symop_operation_xyz
'x,y,z'
'-x,-y,-z'
'-x+1/2,-y,z+1/2'
'x+1/2,y,-z+1/2'
'x+1/2,-y+1/2,-z+1/2'
'-x+1/2,y+1/2,z+1/2'
'-x,y+1/2,-z'
'x,-y+1/2,z'
loop_
_atom_site_label
_atom_site_fract_x
_atom_site_fract_y
_atom_site_fract_z
La1 0.0541 0.2500 0.1193
La2 0.1089 0.7500 0.5580
La3 0.2449 0.2500 0.7901
Ni1 0.1134 0.2500 0.3624
Ag1 0.0015 0.7500 0.2962
Ag2 0.2035 0.7500 0.9937
# Energy of formation ... -1.45 eV per formula unit

---

# SiNi2W PBE-GGA optimized geometry
data_SiNi2W
_chemical_formula_sum 'Si2 Ni4 W2'
_cell_length_a 2.7750
_cell_length_b 4.2752
_cell_length_c 8.4404
_cell_angle_alpha 90.00
_cell_angle_beta 90.00
_cell_angle_gamma 90.00
_space_group_name_H-M_alt 'I m m m'
_space_group_IT_number 71
_space_group_name_Hall '-I 2 2'
loop_
_atom_site_label
_atom_site_fract_x
_atom_site_fract_y
_atom_site_fract_z
Si1 0.0000 0.0000 0.0000
Ni1 0.0000 0.5000 0.2722
W1 0.0000 0.0000 0.5000
# Raw formation energy ... -0.12 eV/atom

---

# Dy12CoSn6 PBE-GGA optimized geometry
data_Dy12CoSn6
_chemical_formula_sum 'Dy36 Co3 Sn18'
_cell_length_a 13.0434
_cell_length_b 13.0434
_cell_length_c 12.1823
_cell_angle_alpha 90.00
_cell_angle_beta 90.00
_cell_angle_gamma 120.00
_space_group_name_H-M_alt 'R -3'
_space_group_IT_number 148
_space_group_name_Hall '-R 3'
loop_
_atom_site_label
_atom_site_fract_x
_atom_site_fract_y
_atom_site_fract_z
Dy1 0.0317 0.8360 0.3927
Dy2 0.0635 0.8727 0.8827
Co1 0.0000 0.0000 0.0000
Sn1 0.0470 0.7625 0.6415
# Energy of formation ... -7.09 eV per formula unit

---

# Hf5Sn2Ge2 PBE-GGA optimized geometry
data_Hf5Sn2Ge2
_chemical_formula_sum 'Hf20 Sn8 Ge8'
_cell_length_a 14.2314
_cell_length_b 7.3314
_cell_length_c 7.2521
_cell_angle_alpha 90.00
_cell_angle_beta 90.00
_cell_angle_gamma 90.00
_space_group_name_H-M_alt 'C m c e'
_space_group_IT_number 64
_space_group_name_Hall '-C 2ac 2'
loop_
_atom_site_label
_atom_site_fract_x
_atom_site_fract_y
_atom_site_fract_z
Hf1 0.0000 0.0000 0.0000
Hf2 0.1251 0.1646 0.3325
Sn1 0.2101 0.0000 0.0000
Ge1 0.0000 0.1332 0.6321
# Energy of formation ... -4.57 eV per formula unit

---

# KCa2Mn PBE-GGA optimized geometry
data_KCa2Mn
_chemical_formula_sum 'K4 Ca8 Mn4'
_cell_length_a 8.2632
_cell_length_b 8.2632
_cell_length_c 8.2632
_cell_angle_alpha 90.00
_cell_angle_beta 90.00
_cell_angle_gamma 90.00
_space_group_name_H-M_alt 'F m -3 m'
_space_group_IT_number 225
_space_group_name_Hall '-F 4 2 3'
loop_
_atom_site_label
_atom_site_fract_x
_atom_site_fract_y
_atom_site_fract_z
K1 0.0000 0.0000 0.0000
Ca1 0.2500 0.2500 0.2500
Mn1 0.0000 0.0000 0.5000
# Offset from the most stable computed form ... 206 meV/atom
# Energy of formation ... 2.16 eV per formula unit

---

# InP2Cl PBE-GGA optimized geometry
data_InP2Cl
_chemical_formula_sum 'In2 P4 Cl2'
_cell_length_a 4.8924
_cell_length_b 12.3871
_cell_length_c 2.8736
_cell_angle_alpha 90.00
_cell_angle_beta 90.00
_cell_angle_gamma 90.00
_space_group_name_H-M_alt 'C m m m'
_space_group_IT_number 65
_space_group_name_Hall '-C 2 2'
loop_
_atom_site_label
_atom_site_fract_x
_atom_site_fract_y
_atom_site_fract_z
In1 0.0000 0.0000 0.0000
P1 0.2500 0.2500 0.5000
Cl1 0.0000 0.5000 0.0000
# Raw formation energy ... 0.41 eV/atom
# Offset from the most stable computed form ... 657 meV/atom

---

# Nb3CuB PBE-GGA optimized geometry
data_Nb3CuB
_chemical_formula_sum 'Nb3 Cu1 B1'
_cell_length_a 4.3319
_cell_length_b 4.3319
_cell_length_c 4.3319
_cell_angle_alpha 90.00
_cell_angle_beta 90.00
_cell_angle_gamma 90.00
_space_group_name_H-M_alt 'P m -3 m'
_space_group_IT_number 221
_space_group_name_Hall '-P 4 2 3'
loop_
_atom_site_label
_atom_site_fract_x
_atom_site_fract_y
_atom_site_fract_z
Nb1 0.0000 0.0000 0.5000
Cu1 0.5000 0.5000 0.5000
B1 0.0000 0.0000 0.0000
# Offset from the most stable computed form ... 0 meV/atom
# Energy of formation ... 0.75 eV per formula unit

---

# CsBaAl2I8 PBE-GGA optimized geometry
data_CsBaAl2I8
_chemical_formula_sum 'Cs3 Ba3 Al6 I24'
_cell_length_a 7.8133
_cell_length_b 7.8133
_cell_length_c 33.8962
_cell_angle_alpha 90.00
_cell_angle_beta 90.00
_cell_angle_gamma 120.00
_space_group_name_H-M_alt 'R -3'
_space_group_IT_number 148
_space_group_name_Hall '-R 3'
loop_
_atom_site_label
_atom_site_fract_x
_atom_site_fract_y
_atom_site_fract_z
Cs1 0.0000 0.0000 0.0000
Ba1 0.0000 0.0000 0.5000
Al1 0.0000 0.0000 0.2538
I1 0.0000 0.0000 0.3304
I2 0.0032 0.3618 0.5615
# Raw formation energy ... -0.96 eV/atom

---

# Fe3Se PBE-GGA optimized geometry
data_Fe3Se
_chemical_formula_sum 'Fe3 Se1'
_cell_length_a 4.0044
_cell_length_b 4.0044
_cell_length_c 3.2654
_cell_angle_alpha 90.00
_cell_angle_beta 90.00
_cell_angle_gamma 90.00
_space_group_name_H-M_alt 'P 4/m m m'
_space_group_IT_number 123
_space_group_name_Hall '-P 4 2'
loop_
_atom_site_label
_atom_site_fract_x
_atom_site_fract_y
_atom_site_fract_z
Fe1 0.0000 0.0000 0.0000
Fe2 0.0000 0.5000 0.5000
Se1 0.5000 0.5000 0.0000
# Raw formation energy ... 0.19 eV/atom
# Offset from the most stable computed form ... 29 meV/atom

---

Fermi-level density of states
In order: 1.04; 0.86; 0.95; 0.72; 1.25; 0.33; 1.46; 0.58; 0.83
Unit: states/eV per atom